## CsNpSe2F (PBE)

Data for crystalline CsNpSe2F at its relaxed geometry. Values from VASP.

Geometry as Quantum ESPRESSO input:
```
&SYSTEM
  ibrav = 0, nat = 10, ntyp = 4
/
ATOMIC_SPECIES
Cs 132.91 Cs.upf
Np 237.00 Np.upf
Se 78.96 Se.upf
F 19.00 F.upf
ATOMIC_POSITIONS crystal
Cs 0.201 0.250 0.313
Cs 0.799 0.750 0.687
Np 0.324 0.250 0.834
Np 0.676 0.750 0.166
Se 0.324 0.750 0.035
Se 0.339 0.750 0.650
Se 0.661 0.250 0.350
Se 0.676 0.250 0.965
F 0.060 0.250 0.768
F 0.940 0.750 0.232
CELL_PARAMETERS angstrom
8.446 0.000 0.000
0.000 4.219 0.000
-2.853 0.000 9.296
```

Output
SG: P2_1/m, No. 11
Spin magnetization (μB/cell): 6.000
Energy (eV per cell): -63.74
DOS at the Fermi energy (states/eV per atom): 1.602